No. 1
CrAgSb2I | PBE | relaxed

Properties
- Space-group type: P4/mmm
- Raw total energy: -3.945 eV per atom
- Formation energy (no corrections): 509 meV per atom

a = 4.9921 Å, b = 4.9921 Å, c = 5.9170 Å
α = 90.00°, β = 90.00°, γ = 90.00°
Last column: magnetic moment on the atom in μB.
Positions (direct):
Sb1 0.0000 0.5000 0.0000  -0.18
Sb2 0.5000 0.0000 0.0000  -0.18
Ag1 0.5000 0.5000 0.5000  0.03
I1 0.0000 0.0000 0.5000  -0.09
Cr1 0.0000 0.0000 0.0000  2.30

No. 2
CrAgSbI2 | PBE | relaxed

Properties
- Space-group type: P4/mmm
- Raw total energy: -3.522 eV per atom
- Formation energy (no corrections): 417 meV per atom

a = 5.5434 Å, b = 5.5434 Å, c = 5.2076 Å
α = 90.00°, β = 90.00°, γ = 90.00°
Last column: magnetic moment on the atom in μB.
Positions (direct):
I1 0.0000 0.5000 0.0000  -0.03
I2 0.5000 0.0000 0.0000  -0.03
Sb1 0.0000 0.0000 0.5000  -0.27
Ag1 0.5000 0.5000 0.5000  0.01
Cr1 0.0000 0.0000 0.0000  3.19

No. 3
CrAgSb2I | PBE | relaxed

Properties
- Space-group type: P4/mmm
- Raw total energy: -3.540 eV per atom
- Formation energy (no corrections): 914 meV per atom

a = 5.3509 Å, b = 5.3509 Å, c = 5.7434 Å
α = 90.00°, β = 90.00°, γ = 90.00°
Last column: magnetic moment on the atom in μB.
Positions (direct):
Cr1 0.5000 0.5000 0.5000  -4.22
I1 0.0000 0.0000 0.5000  0.07
Sb1 0.0000 0.5000 0.0000  0.22
Sb2 0.5000 0.0000 0.0000  0.22
Ag1 0.0000 0.0000 0.0000  0.03

No. 4
CrAg2SnI | PBE | relaxed

Properties
- Space-group type: P4/mmm
- Raw total energy: -3.534 eV per atom
- Formation energy (no corrections): 642 meV per atom

a = 5.2911 Å, b = 5.3107 Å, c = 5.2911 Å
α = 90.00°, β = 90.00°, γ = 90.00°
Last column: magnetic moment on the atom in μB.
Positions (direct):
Cr1 0.0000 0.5000 0.0000  3.75
Ag1 0.5000 0.0000 0.0000  -0.08
Ag2 0.0000 0.0000 0.5000  -0.09
I1 0.5000 0.5000 0.5000  -0.16
Sn1 0.0000 0.0000 0.0000  -0.30

Question: What is the raw total energy in the first record?
Answer: -3.945 eV per atom

Question: Among the records above, which one has the lowest raw total energy?
Answer: number 1

Question: Which of these has the highest formation energy (no corrections)?
Answer: number 3